Entry 1:
First-principles (PBE-GGA) data for an optimized crystal structure of PmScRh, as listed in Alexandria via LeMat-Bulk.

electronic total energy: -6.628 eV per atom
energy above the most stable polymorph in this dataset: 0.030 eV/atom
ΔH_f (0 K): -483 meV/atom

Cell and atoms, written as POSCAR:
```
PmScRh
1.0
4.735 0.000 0.000
2.367 4.100 0.000
2.367 1.367 3.866
Sc Rh Pm
1 1 1
direct
0.000 0.000 0.000 Sc
0.250 0.250 0.250 Rh
0.500 0.500 0.500 Pm
```

=====

Entry 2:
First-principles (PBE-GGA) data for an optimized crystal structure of PmScRh, as listed in Alexandria via LeMat-Bulk.

electronic total energy: -6.655 eV per atom
energy above the most stable polymorph in this dataset: 0.002 eV/atom
ΔH_f (0 K): -511 meV/atom

Cell and atoms, written as POSCAR:
```
PmScRh
1.0
-1.263 -1.379 -2.798
-2.182 -1.767 1.856
-2.331 6.139 0.051
Sc Rh Pm
1 1 1
direct
0.294 0.294 0.587 Sc
0.683 0.683 0.367 Rh
0.023 0.023 0.046 Pm
```

=====

Entry 3:
First-principles (PBE-GGA) data for an optimized crystal structure of Pm2Sc3Rh2, as listed in Alexandria via LeMat-Bulk.

electronic total energy: -6.731 eV per atom
ΔH_f (0 K): -560 meV/atom

Cell and atoms, written as POSCAR:
```
Pm2Sc3Rh2
1.0
-1.025 3.134 -1.604
-6.051 -0.351 -1.009
-3.655 4.026 6.012
Pm Sc Rh
2 3 2
direct
0.155 0.490 0.199 Pm
0.845 0.510 0.801 Pm
0.500 0.000 0.000 Sc
0.378 0.810 0.433 Sc
0.622 0.190 0.567 Sc
0.163 0.913 0.760 Rh
0.837 0.087 0.240 Rh
```

=====

Entry 4:
First-principles (PBE-GGA) data for an optimized crystal structure of Pm2ScRh, as listed in Alexandria via LeMat-Bulk.

electronic total energy: -6.170 eV per atom
energy above the most stable polymorph in this dataset: 0.000 eV/atom
ΔH_f (0 K): -374 meV/atom

Cell and atoms, written as POSCAR:
```
Pm2ScRh
1.0
-2.310 -2.856 -3.185
0.499 -3.173 -1.212
-7.655 -2.882 4.415
Pm Sc Rh
2 1 1
direct
0.232 0.645 0.548 Pm
0.063 0.313 0.217 Pm
0.435 0.942 0.844 Sc
0.780 0.097 0.001 Rh
```

=====

Entry 5:
First-principles (PBE-GGA) data for an optimized crystal structure of PmScRh, as listed in Alexandria via LeMat-Bulk.

electronic total energy: -6.657 eV per atom
energy above the most stable polymorph in this dataset: 0.000 eV/atom
ΔH_f (0 K): -513 meV/atom

Cell and atoms, written as POSCAR:
```
PmScRh
1.0
5.877 0.000 0.000
0.000 6.360 -2.113
0.000 1.439 7.729
Pm Sc Rh
4 4 4
direct
0.369 0.209 0.895 Pm
0.631 0.791 0.105 Pm
0.869 0.291 0.605 Pm
0.131 0.709 0.395 Pm
0.884 0.292 0.135 Sc
0.616 0.792 0.635 Sc
0.116 0.708 0.865 Sc
0.384 0.208 0.365 Sc
0.343 0.475 0.644 Rh
0.657 0.525 0.356 Rh
0.157 0.975 0.144 Rh
0.843 0.025 0.856 Rh
```

=====

Entry 6:
First-principles (PBE-GGA) data for an optimized crystal structure of PmScRh, as listed in Alexandria via LeMat-Bulk.

electronic total energy: -6.545 eV per atom
energy above the most stable polymorph in this dataset: 0.113 eV/atom
ΔH_f (0 K): -400 meV/atom

Cell and atoms, written as POSCAR:
```
PmScRh
1.0
-1.161 0.647 -4.446
-3.809 -1.848 0.726
0.459 4.241 0.498
Sc Rh Pm
1 1 1
direct
0.220 0.333 0.667 Sc
0.066 0.000 0.000 Rh
0.714 0.667 0.333 Pm
```

=====

- Among the records above, which one has the lowest ΔH_f (0 K)?
  Pm2Sc3Rh2

=====

- Number 5 is which compound?
  PmScRh

=====

- Which of these has the highest electronic total energy?
  Pm2ScRh